[1]
This record from Alexandria describes a geometry-optimized Ce2Sn2Pd structure. The functional is GGA-PBE.

Results
Formation energy (eV/atom): -0.720
SG: C2/m, No. 12
E (eV per cell): -57.34

Unit cell a=6.0714 b=6.0714 c=11.2277 alpha=114.84 beta=114.84 gamma=45.09
Sites, in units of the cell vectors:
Ce 0.0080 0.0080 0.3316
Ce 0.1820 0.1820 0.1134
Ce 0.8180 0.8180 0.8866
Ce 0.9920 0.9920 0.6684
Sn 0.3506 0.3506 0.4405
Sn 0.4711 0.4711 0.1183
Sn 0.5289 0.5289 0.8817
Sn 0.6494 0.6494 0.5595
Pd 0.2802 0.2802 0.6620
Pd 0.7198 0.7198 0.3380

[2]
This record from Alexandria describes a geometry-optimized CeSn3Pd structure. The functional is GGA-PBE.

Results
Formation energy (eV/atom): -0.450
SG: Pmmn, No. 59
E (eV per cell): -50.77

Unit cell a=4.4775 b=7.1717 c=7.9553 alpha=90.00 beta=90.00 gamma=90.00
Sites, in units of the cell vectors:
Ce 0.2500 0.2500 0.2175
Ce 0.7500 0.7500 0.7825
Sn 0.2500 0.0370 0.6620
Sn 0.2500 0.4630 0.6620
Sn 0.2500 0.7500 0.0794
Sn 0.7500 0.2500 0.9206
Sn 0.7500 0.5370 0.3380
Sn 0.7500 0.9630 0.3380
Pd 0.2500 0.7500 0.4192
Pd 0.7500 0.2500 0.5808

[3]
This record from Alexandria describes a geometry-optimized CeSn2Pd structure. The functional is GGA-PBE.

Results
Formation energy (eV/atom): -0.678
SG: Immm, No. 71
E (eV per cell): -87.38

Unit cell a=10.3645 b=10.3645 c=10.3645 alpha=154.12 beta=125.14 gamma=61.63
Sites, in units of the cell vectors:
Ce 0.2044 0.2044 0.0000
Ce 0.2396 0.0000 0.2396
Ce 0.7604 0.0000 0.7604
Ce 0.7956 0.7956 0.0000
Sn 0.0779 0.5779 0.5000
Sn 0.1449 0.8023 0.3425
Sn 0.4198 0.4198 0.0000
Sn 0.4598 0.8023 0.6575
Sn 0.5402 0.1977 0.3425
Sn 0.5802 0.5802 0.0000
Sn 0.8551 0.1977 0.6575
Sn 0.9221 0.4221 0.5000
Pd 0.0990 0.3525 0.7465
Pd 0.3940 0.6475 0.7465
Pd 0.6060 0.3525 0.2535
Pd 0.9010 0.6475 0.2535

[4]
This record from Alexandria describes a geometry-optimized Ce2SnPd2 structure. The functional is GGA-PBE.

Results
Formation energy (eV/atom): -0.825
SG: P4/mbm, No. 127
E (eV per cell): -60.76

Unit cell a=7.7699 b=7.7699 c=3.8370 alpha=90.00 beta=90.00 gamma=90.00
Sites, in units of the cell vectors:
Ce 0.1768 0.3232 0.0000
Ce 0.3232 0.8232 0.0000
Ce 0.6768 0.1768 0.0000
Ce 0.8232 0.6768 0.0000
Sn 0.0000 0.0000 0.5000
Sn 0.5000 0.5000 0.5000
Pd 0.1281 0.6281 0.5000
Pd 0.3719 0.1281 0.5000
Pd 0.6281 0.8719 0.5000
Pd 0.8719 0.3719 0.5000